Entry 1:
VASP calculation (PBE) on a geometry-optimized Ba4InSn structure.

Output
total DFT energy (no corrections): -67.09 eV per cell
DFT formation energy: -390 meV/atom
spin magnetization: 0.000 μB per atom
relative energy among the computed polymorphs: 0.000 eV per atom
density: 4.361 g/cm3

Structure (CIF):
```
data_Ba4InSn
_chemical_formula_sum 'Ba16 In4 Sn4'
_cell_length_a 11.1573
_cell_length_b 15.9922
_cell_length_c 7.9023
_cell_angle_alpha 90.00
_cell_angle_beta 122.26
_cell_angle_gamma 90.00
_space_group_name_H-M_alt 'C 1 2/c 1'
_space_group_IT_number 15
loop_
_space_group_symop_operation_xyz
'x,y,z'
'-x,-y,-z'
'-x,y,-z+1/2'
'x,-y,z+1/2'
'x+1/2,y+1/2,z'
'-x+1/2,-y+1/2,-z'
'-x+1/2,y+1/2,-z+1/2'
'x+1/2,-y+1/2,z+1/2'
loop_
_atom_site_label
_atom_site_fract_x
_atom_site_fract_y
_atom_site_fract_z
_atom_site_occupancy
Ba1 0.1257 0.1780 0.0816 1
Ba2 0.1935 0.4456 0.2607 1
In1 0.0000 0.0063 0.2500 1
Sn1 0.0000 0.3625 0.7500 1
```

=====

Entry 2:
VASP calculation (PBE) on a geometry-optimized BaIn2Sn2 structure.

Output
total DFT energy (no corrections): -50.66 eV per cell
DFT formation energy: -296 meV/atom
spin magnetization: 0.000 μB per atom
relative energy among the computed polymorphs: 0.053 eV per atom
density: 6.200 g/cm3

Structure (CIF):
```
data_BaIn2Sn2
_chemical_formula_sum 'Ba3 In6 Sn6'
_cell_length_a 5.2554
_cell_length_b 5.2554
_cell_length_c 20.3018
_cell_angle_alpha 90.00
_cell_angle_beta 90.00
_cell_angle_gamma 120.00
_space_group_name_H-M_alt 'R -3 m'
_space_group_IT_number 166
_space_group_name_Hall '-R 3 2"'
loop_
_atom_site_label
_atom_site_fract_x
_atom_site_fract_y
_atom_site_fract_z
_atom_site_occupancy
Ba1 0.0000 0.0000 0.0000 1
In1 0.0000 0.0000 0.2062 1
Sn1 0.0000 0.0000 0.4289 1
```

=====

Entry 3:
VASP calculation (PBE) on a geometry-optimized BaSrIn2Sn2 structure.

Output
total DFT energy (no corrections): -20.04 eV per cell
DFT formation energy: -493 meV/atom
spin magnetization: 0.000 μB per atom
density: 5.574 g/cm3

Structure (CIF):
```
data_BaSrIn2Sn2
_chemical_formula_sum 'Ba1 Sr1 In2 Sn2'
_cell_length_a 4.8632
_cell_length_b 4.8632
_cell_length_c 10.0651
_cell_angle_alpha 90.00
_cell_angle_beta 90.00
_cell_angle_gamma 120.00
_space_group_name_H-M_alt 'P -3 m 1'
_space_group_IT_number 164
_space_group_name_Hall '-P 3 2"'
loop_
_atom_site_label
_atom_site_fract_x
_atom_site_fract_y
_atom_site_fract_z
_atom_site_occupancy
Ba1 0.0000 0.0000 0.0000 1
Sr1 0.0000 0.0000 0.5000 1
In1 0.3333 0.6667 0.7819 1
Sn1 0.3333 0.6667 0.2952 1
```

=====

Entry 4:
VASP calculation (PBE) on a geometry-optimized BaSrIn2Sn structure.

Output
total DFT energy (no corrections): -13.07 eV per cell
DFT formation energy: 3 meV/atom
spin magnetization: 0.000 μB per atom
density: 4.548 g/cm3

Structure (CIF):
```
data_BaSrIn2Sn
_chemical_formula_sum 'Ba1 Sr1 In2 Sn1'
_cell_length_a 5.8729
_cell_length_b 5.8729
_cell_length_c 6.0693
_cell_angle_alpha 90.00
_cell_angle_beta 90.00
_cell_angle_gamma 90.00
_space_group_name_H-M_alt 'P 4/m m m'
_space_group_IT_number 123
_space_group_name_Hall '-P 4 2'
loop_
_atom_site_label
_atom_site_fract_x
_atom_site_fract_y
_atom_site_fract_z
_atom_site_occupancy
Ba1 0.0000 0.0000 0.0000 1
Sr1 0.5000 0.5000 0.0000 1
In1 0.0000 0.5000 0.5000 1
Sn1 0.5000 0.5000 0.5000 1
```

=====

Entry 5:
VASP calculation (PBE) on a geometry-optimized BaInTcSn2 structure.

Output
total DFT energy (no corrections): -23.90 eV per cell
DFT formation energy: -173 meV/atom
spin magnetization: 0.000 μB per atom
density: 6.766 g/cm3

Structure (CIF):
```
data_BaInTcSn2
_chemical_formula_sum 'Ba1 In1 Tc1 Sn2'
_cell_length_a 5.2313
_cell_length_b 5.2313
_cell_length_c 5.2696
_cell_angle_alpha 90.00
_cell_angle_beta 90.00
_cell_angle_gamma 90.00
_space_group_name_H-M_alt 'P 4/m m m'
_space_group_IT_number 123
_space_group_name_Hall '-P 4 2'
loop_
_atom_site_label
_atom_site_fract_x
_atom_site_fract_y
_atom_site_fract_z
_atom_site_occupancy
Ba1 0.0000 0.0000 0.0000 1
In1 0.5000 0.5000 0.0000 1
Tc1 0.5000 0.5000 0.5000 1
Sn1 0.0000 0.5000 0.5000 1
```

=====

Entry 6:
VASP calculation (PBE) on a geometry-optimized BaInSnTe3 structure.

Output
total DFT energy (no corrections): -44.32 eV per cell
spin magnetization: 0.000 μB per atom
density: 5.636 g/cm3
ΔE_f (raw): -0.679 eV/atom

Structure (CIF):
```
data_BaInSnTe3
_chemical_formula_sum 'Ba2 In2 Sn2 Te6'
_cell_length_a 8.9021
_cell_length_b 4.8322
_cell_length_c 10.9750
_cell_angle_alpha 90.00
_cell_angle_beta 109.83
_cell_angle_gamma 90.00
_space_group_name_H-M_alt 'P 1 21/m 1'
_space_group_IT_number 11
loop_
_space_group_symop_operation_xyz
'x,y,z'
'-x,-y,-z'
'-x,y+1/2,-z'
'x,-y+1/2,z'
loop_
_atom_site_label
_atom_site_fract_x
_atom_site_fract_y
_atom_site_fract_z
_atom_site_occupancy
Ba1 0.2355 0.2500 0.2473 1
In1 0.1309 0.2500 0.6299 1
Sn1 0.3094 0.7500 0.8827 1
Te1 0.0699 0.2500 0.8922 1
Te2 0.2428 0.7500 0.5064 1
Te3 0.4741 0.7500 0.1657 1
```

=====

Entry 7:
VASP calculation (PBE) on a geometry-optimized Ba2InSnTe5 structure.

Output
total DFT energy (no corrections): -138.89 eV per cell
spin magnetization: 0.000 μB per atom
density: 5.632 g/cm3
ΔE_f (raw): -0.936 eV/atom

Structure (CIF):
```
data_Ba2InSnTe5
_chemical_formula_sum 'Ba8 In4 Sn4 Te20'
_cell_length_a 4.6507
_cell_length_b 21.1288
_cell_length_c 13.7566
_cell_angle_alpha 90.00
_cell_angle_beta 90.00
_cell_angle_gamma 90.00
_space_group_name_H-M_alt 'C m c 21'
_space_group_IT_number 36
loop_
_space_group_symop_operation_xyz
'x,y,z'
'-x,-y,z+1/2'
'-x,y,z'
'x,-y,z+1/2'
'x+1/2,y+1/2,z'
'-x+1/2,-y+1/2,z+1/2'
'-x+1/2,y+1/2,z'
'x+1/2,-y+1/2,z+1/2'
loop_
_atom_site_label
_atom_site_fract_x
_atom_site_fract_y
_atom_site_fract_z
_atom_site_occupancy
Ba1 0.0000 0.1110 0.0000 1
Ba2 0.0000 0.1240 0.6237 1
In1 0.0000 0.4308 0.7649 1
Sn1 0.0000 0.2238 0.3414 1
Te1 0.0000 0.0499 0.3814 1
Te2 0.0000 0.2777 0.9900 1
Te3 0.0000 0.3033 0.6843 1
Te4 0.0000 0.3597 0.3146 1
Te5 0.0000 0.5003 0.0910 1
```

=====

Entry 8:
VASP calculation (PBE) on a geometry-optimized BaThIn2Sn2 structure.

Output
total DFT energy (no corrections): -25.28 eV per cell
DFT formation energy: -410 meV/atom
spin magnetization: 0.000 μB per atom
density: 7.044 g/cm3

Structure (CIF):
```
data_BaThIn2Sn2
_chemical_formula_sum 'Ba1 Th1 In2 Sn2'
_cell_length_a 4.7188
_cell_length_b 4.7188
_cell_length_c 10.2250
_cell_angle_alpha 90.00
_cell_angle_beta 90.00
_cell_angle_gamma 120.00
_space_group_name_H-M_alt 'P -3 m 1'
_space_group_IT_number 164
_space_group_name_Hall '-P 3 2"'
loop_
_atom_site_label
_atom_site_fract_x
_atom_site_fract_y
_atom_site_fract_z
_atom_site_occupancy
Ba1 0.0000 0.0000 0.0000 1
Th1 0.0000 0.0000 0.5000 1
In1 0.3333 0.6667 0.7829 1
Sn1 0.3333 0.6667 0.3269 1
```

=====

Entry 9:
VASP calculation (PBE) on a geometry-optimized Ba2Tl6InSn structure.

Output
total DFT energy (no corrections): -52.49 eV per cell
DFT formation energy: -146 meV/atom
spin magnetization: 0.000 μB per atom
density: 7.931 g/cm3

Structure (CIF):
```
data_Ba2Tl6InSn
_chemical_formula_sum 'Ba4 Tl12 In2 Sn2'
_cell_length_a 8.9724
_cell_length_b 10.3882
_cell_length_c 7.7924
_cell_angle_alpha 90.00
_cell_angle_beta 90.00
_cell_angle_gamma 90.00
_space_group_name_H-M_alt 'P m m n'
_space_group_IT_number 59
loop_
_space_group_symop_operation_xyz
'x,y,z'
'-x,-y,-z'
'-x+1/2,-y+1/2,z'
'x+1/2,y+1/2,-z'
'x+1/2,-y,-z'
'-x+1/2,y,z'
'-x,y+1/2,-z'
'x,-y+1/2,z'
loop_
_atom_site_label
_atom_site_fract_x
_atom_site_fract_y
_atom_site_fract_z
_atom_site_occupancy
Ba1 0.2500 0.0050 0.2186 1
Tl1 0.0619 0.2500 0.9129 1
Tl2 0.0789 0.7500 0.5147 1
Tl3 0.2500 0.0090 0.7352 1
In1 0.2500 0.7500 0.9061 1
Sn1 0.2500 0.2500 0.5223 1
```

=====

Entry 10:
VASP calculation (PBE) on a geometry-optimized BaTlInSn structure.

Output
total DFT energy (no corrections): -48.77 eV per cell
DFT formation energy: -291 meV/atom
spin magnetization: 0.000 μB per atom
density: 7.339 g/cm3

Structure (CIF):
```
data_BaTlInSn
_chemical_formula_sum 'Ba4 Tl4 In4 Sn4'
_cell_length_a 8.0445
_cell_length_b 8.0445
_cell_length_c 8.0445
_cell_angle_alpha 90.00
_cell_angle_beta 90.00
_cell_angle_gamma 90.00
_space_group_name_H-M_alt 'F -4 3 m'
_space_group_IT_number 216
_space_group_name_Hall 'F -4 2 3'
loop_
_atom_site_label
_atom_site_fract_x
_atom_site_fract_y
_atom_site_fract_z
_atom_site_occupancy
Ba1 0.0000 0.0000 0.0000 1
Tl1 0.2500 0.2500 0.7500 1
In1 0.2500 0.2500 0.2500 1
Sn1 0.0000 0.0000 0.5000 1
```

=====

Entry 11:
VASP calculation (PBE) on a geometry-optimized Ba2ZnIn3Sn4 structure.

Output
total DFT energy (no corrections): -32.67 eV per cell
DFT formation energy: -332 meV/atom
spin magnetization: 0.000 μB per atom
density: 6.188 g/cm3

Structure (CIF):
```
data_Ba2ZnIn3Sn4
_chemical_formula_sum 'Ba2 Zn1 In3 Sn4'
_cell_length_a 5.2893
_cell_length_b 5.2893
_cell_length_c 11.1195
_cell_angle_alpha 90.00
_cell_angle_beta 90.00
_cell_angle_gamma 90.00
_space_group_name_H-M_alt 'P -4 m 2'
_space_group_IT_number 115
loop_
_space_group_symop_operation_xyz
'x,y,z'
'y,-x,-z'
'-x,-y,z'
'-y,x,-z'
'-x,y,z'
'-y,-x,-z'
'x,-y,z'
'y,x,-z'
loop_
_atom_site_label
_atom_site_fract_x
_atom_site_fract_y
_atom_site_fract_z
_atom_site_occupancy
Ba1 0.0000 0.5000 0.2451 1
Zn1 0.5000 0.5000 0.0000 1
In1 0.0000 0.0000 0.0000 1
In2 0.0000 0.5000 0.6269 1
Sn1 0.0000 0.0000 0.5000 1
Sn2 0.0000 0.5000 0.8841 1
Sn3 0.5000 0.5000 0.5000 1
```

=====

Entry 12:
VASP calculation (PBE) on a geometry-optimized Ba2Zn4In3Sn structure.

Output
total DFT energy (no corrections): -24.38 eV per cell
DFT formation energy: -322 meV/atom
spin magnetization: 0.000 μB per atom
density: 6.306 g/cm3

Structure (CIF):
```
data_Ba2Zn4In3Sn
_chemical_formula_sum 'Ba2 Zn4 In3 Sn1'
_cell_length_a 4.7710
_cell_length_b 4.7710
_cell_length_c 11.5629
_cell_angle_alpha 90.00
_cell_angle_beta 90.00
_cell_angle_gamma 90.00
_space_group_name_H-M_alt 'P -4 m 2'
_space_group_IT_number 115
loop_
_space_group_symop_operation_xyz
'x,y,z'
'y,-x,-z'
'-x,-y,z'
'-y,x,-z'
'-x,y,z'
'-y,-x,-z'
'x,-y,z'
'y,x,-z'
loop_
_atom_site_label
_atom_site_fract_x
_atom_site_fract_y
_atom_site_fract_z
_atom_site_occupancy
Ba1 0.0000 0.5000 0.2456 1
Zn1 0.0000 0.0000 0.0000 1
Zn2 0.0000 0.5000 0.6371 1
Zn3 0.5000 0.5000 0.0000 1
In1 0.0000 0.5000 0.8742 1
In2 0.5000 0.5000 0.5000 1
Sn1 0.0000 0.0000 0.5000 1
```